Below is a geometry-optimized Si2TeCl structure, with properties calculated at the PBE level.

a b c (Å): 3.456 3.456 8.590
angles (deg): 90.00 90.00 90.00
Fractional positions:
Si 0.500 0.500 0.081
Si 0.000 0.000 0.145
Te 0.000 0.000 0.437
Cl 0.500 0.500 0.837

Output
- E_form (uncorrected) (eV/atom) = -0.202
- distance to the lowest polymorph of the same formula (eV/f.u.) = 0.000
- V (Å³ per atom) = 25.65
- SG = No. 99
- calculated total energy (eV/cell) = -16.64


Below is a geometry-optimized SiTe3Cl structure, with properties calculated at the PBE level.

a b c (Å): 5.265 5.265 5.265
angles (deg): 90.00 90.00 90.00
Fractional positions:
Te 0.500 0.000 0.000
Te 0.000 0.000 0.500
Si 0.000 0.000 0.000
Cl 0.500 0.500 0.500
Te 0.000 0.500 0.000

Output
- E_form (uncorrected) (eV/atom) = 0.416
- distance to the lowest polymorph of the same formula (eV/f.u.) = 2.015
- V (Å³ per atom) = 29.19
- SG = No. 221
- calculated total energy (eV/cell) = -14.62